Compound: Li2Al2Cu2Ag
Source: the Alexandria database
Functional: GGA-PBE
Structure: relaxed

Results
* DFT formation energy: -160 meV per atom

Cell lengths 9.320, 4.249, 5.068 Å; angles 90.00, 94.57, 90.00 degrees
Space group C2/m (No. 12)
Symmetry-distinct sites (fractional):
Li 0.080 0.000 0.300 [4 per cell]
Al 0.216 0.000 0.828 [4 per cell]
Cu 0.143 0.500 0.571 [4 per cell]
Ag 0.000 0.500 0.000 [2 per cell]

---

Compound: BiSeF2
Source: the Alexandria database
Functional: GGA-PBE
Structure: relaxed

Results
* energy above the most stable polymorph in this dataset: 50.16 kJ per mole of atoms
* uncorrected formation energy: -88.8 kJ per mole of atoms

Cell lengths 3.2719, 3.2719, 24.8082 Å; angles 90.00, 90.00, 120.00 degrees
Space group R-3m (No. 166, hexagonal axes)
Symmetry-distinct sites (fractional):
Bi 0.0000 0.0000 0.0000 [3 per cell]
Se 0.0000 0.0000 0.5000 [3 per cell]
F 0.0000 0.0000 0.4179 [6 per cell]

---

Compound: BeCdHg2
Source: the Alexandria database
Functional: GGA-PBE
Structure: relaxed

Results
* energy above the most stable polymorph in this dataset: 7.85 kJ per mole of atoms
* DFT formation energy: 311 meV per atom

Cell lengths 3.2290, 3.2290, 26.8566 Å; angles 90.00, 90.00, 120.00 degrees
Space group R3m (No. 160, hexagonal axes)
Symmetry-distinct sites (fractional):
Be 0.0000 0.0000 0.0000 [3 per cell]
Cd 0.0000 0.0000 0.2636 [3 per cell]
Hg 0.0000 0.0000 0.4990 [3 per cell]
Hg 0.0000 0.0000 0.7312 [3 per cell]

---

Compound: CaTi2BeC
Source: the Alexandria database
Functional: GGA-PBE
Structure: relaxed

Results
* DFT formation energy: 2464 meV per atom

Cell lengths 4.663, 4.663, 4.294 Å; angles 90.00, 90.00, 90.00 degrees
Space group P4/mmm (No. 123)
Symmetry-distinct sites (fractional):
Ca 0.000 0.000 0.000 [1 per cell]
Ti 0.000 0.500 0.000 [2 per cell]
Be 0.500 0.500 0.500 [1 per cell]
C 0.000 0.000 0.500 [1 per cell]

---

Compound: Fe3PdRh
Source: the Alexandria database
Functional: GGA-PBE
Structure: relaxed

Results
* energy above the most stable polymorph in this dataset: 0.00 kJ per mole of atoms
* DFT formation energy: 1181 meV per atom

Cell lengths 4.561, 4.561, 4.561 Å; angles 90.00, 90.00, 90.00 degrees
Space group Pm-3m (No. 221)
Symmetry-distinct sites (fractional):
Fe 0.000 0.000 0.500 [3 per cell]
Pd 0.500 0.500 0.500 [1 per cell]
Rh 0.000 0.000 0.000 [1 per cell]

---

Compound: CoTc2Te
Source: the Alexandria database
Functional: GGA-PBE
Structure: relaxed

Results
* uncorrected formation energy: 48.6 kJ per mole of atoms

Cell lengths 2.929, 3.960, 5.517 Å; angles 90.00, 99.54, 90.00 degrees
Space group P2/m (No. 10)
Symmetry-distinct sites (fractional):
Co 0.000 0.000 0.000 [1 per cell]
Tc 0.413 0.500 0.782 [2 per cell]
Te 0.000 0.000 0.500 [1 per cell]

---

Compound: AlAg2Te
Source: the Alexandria database
Functional: GGA-PBE
Structure: relaxed

Results
* energy above the most stable polymorph in this dataset: 3.05 kJ per mole of atoms
* uncorrected formation energy: 7.3 kJ per mole of atoms

Cell lengths 3.805, 3.805, 5.889 Å; angles 90.00, 90.00, 90.00 degrees
Space group P4mm (No. 99)
Symmetry-distinct sites (fractional):
Al 0.000 0.000 0.000 [1 per cell]
Ag 0.000 0.000 0.550 [1 per cell]
Ag 0.500 0.500 0.725 [1 per cell]
Te 0.500 0.500 0.210 [1 per cell]

---

Compound: CoIr2Au
Source: the Alexandria database
Functional: GGA-PBE
Structure: relaxed

Results
* energy above the most stable polymorph in this dataset: 7.20 kJ per mole of atoms
* DFT formation energy: 252 meV per atom

Cell lengths 2.733, 2.733, 7.725 Å; angles 90.00, 90.00, 90.00 degrees
Space group P4/mmm (No. 123)
Symmetry-distinct sites (fractional):
Co 0.000 0.000 0.000 [1 per cell]
Ir 0.500 0.500 0.217 [2 per cell]
Au 0.000 0.000 0.500 [1 per cell]

---

Compound: GaHg2PbCl
Source: the Alexandria database
Functional: GGA-PBE
Structure: relaxed

Results
* uncorrected formation energy: 7.2 kJ per mole of atoms

Cell lengths 5.946, 5.946, 5.592 Å; angles 90.00, 90.00, 90.00 degrees
Space group P4/mmm (No. 123)
Symmetry-distinct sites (fractional):
Ga 0.000 0.000 0.000 [1 per cell]
Hg 0.000 0.500 0.500 [2 per cell]
Pb 0.500 0.500 0.500 [1 per cell]
Cl 0.500 0.500 0.000 [1 per cell]

---

Compound: Al2V6Cr
Source: the Alexandria database
Functional: GGA-PBE
Structure: relaxed

Results
* energy above the most stable polymorph in this dataset: 0.00 kJ per mole of atoms
* DFT formation energy: -88 meV per atom

Cell lengths 4.2561, 4.2561, 7.8034 Å; angles 90.00, 90.00, 120.00 degrees
Space group P-3m1 (No. 164)
Symmetry-distinct sites (fractional):
Al 0.3333 0.6667 0.4384 [2 per cell]
V 0.0000 0.0000 0.3087 [2 per cell]
V 0.3333 0.6667 0.1030 [2 per cell]
V 0.3333 0.6667 0.7787 [2 per cell]
Cr 0.0000 0.0000 0.0000 [1 per cell]

---

Compound: NaMoCl3
Source: the Alexandria database
Functional: GGA-PBE
Structure: relaxed

Results
* energy above the most stable polymorph in this dataset: 92.19 kJ per mole of atoms
* uncorrected formation energy: 2.9 kJ per mole of atoms

Cell lengths 4.974, 4.974, 4.974 Å; angles 90.00, 90.00, 90.00 degrees
Space group Pm-3m (No. 221)
Symmetry-distinct sites (fractional):
Na 0.000 0.000 0.000 [1 per cell]
Mo 0.500 0.500 0.500 [1 per cell]
Cl 0.000 0.000 0.500 [3 per cell]